[1]
# Ba3BiBr

An optimized crystal structure of Ba3BiBr (GGA-PBE, Alexandria via LeMat-Bulk).

Results
calculated volume	45.60	Å³/atom
N(E_F)	17.1	states/eV per cell
uncorrected formation energy	-0.95	eV/atom

a b c (Å): 10.6067 7.5055 12.1827
angles (deg): 90.00 109.88 90.00
Element x y z (fractional)
1 Ba 0.0326 0.1058 0.3078
2 Ba 0.0326 0.3942 0.8078
3 Ba 0.1894 0.6033 0.5334
4 Ba 0.1894 0.8967 0.0334
5 Ba 0.4262 0.2231 0.8444
6 Ba 0.4262 0.2769 0.3444
7 Ba 0.5738 0.7231 0.6556
8 Ba 0.5738 0.7769 0.1556
9 Ba 0.8106 0.1033 0.9666
10 Ba 0.8106 0.3967 0.4666
11 Ba 0.9674 0.6058 0.1922
12 Ba 0.9674 0.8942 0.6922
13 Bi 0.3370 0.7071 0.8368
14 Bi 0.3370 0.7929 0.3368
15 Bi 0.6630 0.2071 0.6632
16 Bi 0.6630 0.2929 0.1632
17 Br 0.1214 0.2000 0.5992
18 Br 0.1214 0.3000 0.0992
19 Br 0.8786 0.7000 0.9008
20 Br 0.8786 0.8000 0.4008


[2]
# CsK2Tl2Bi2

An optimized crystal structure of CsK2Tl2Bi2 (GGA-PBE, Alexandria via LeMat-Bulk).

Results
calculated volume	44.97	Å³/atom
energy of formation	-0.253	eV/atom
N(E_F)	1.7	states/eV per cell

a b c (Å): 5.9339 5.9339 11.6275
angles (deg): 105.62 105.62 53.76
Element x y z (fractional)
1 Cs 0.0000 0.0000 0.0000
2 K 0.1231 0.1231 0.4013
3 K 0.8769 0.8769 0.5987
4 Tl 0.4070 0.4070 0.2385
5 Tl 0.5930 0.5930 0.7615
6 Bi 0.2566 0.2566 0.7510
7 Bi 0.7434 0.7434 0.2490


[3]
# TcSb2Te

An optimized crystal structure of TcSb2Te (GGA-PBE, Alexandria via LeMat-Bulk).

Results
calculated volume	23.75	Å³/atom
N(E_F)	2.6	states/eV per cell
uncorrected formation energy	0.15	eV/atom

a b c (Å): 9.6220 9.6220 9.6220
angles (deg): 20.43 20.43 20.43
Element x y z (fractional)
1 Tc 0.0000 0.0000 0.0000
2 Sb 0.2666 0.2666 0.2666
3 Sb 0.7334 0.7334 0.7334
4 Te 0.5000 0.5000 0.5000


[4]
# La5SiPb2

An optimized crystal structure of La5SiPb2 (GGA-PBE, Alexandria via LeMat-Bulk).

Results
calculated volume	33.57	Å³/atom
N(E_F)	20.5	states/eV per cell
uncorrected formation energy	-0.58	eV/atom

a b c (Å): 8.5639 13.0210 4.8169
angles (deg): 90.00 90.00 90.00
Element x y z (fractional)
1 La 0.0000 0.0000 0.0000
2 La 0.1473 0.2918 0.0000
3 La 0.1914 0.5654 0.5000
4 La 0.3086 0.0654 0.5000
5 La 0.3527 0.7918 0.0000
6 La 0.5000 0.5000 0.0000
7 La 0.6473 0.2082 0.0000
8 La 0.6914 0.9346 0.5000
9 La 0.8086 0.4346 0.5000
10 La 0.8527 0.7082 0.0000
11 Si 0.0000 0.5000 0.0000
12 Si 0.5000 0.0000 0.0000
13 Pb 0.0763 0.8272 0.5000
14 Pb 0.4237 0.3272 0.5000
15 Pb 0.5763 0.6728 0.5000
16 Pb 0.9237 0.1728 0.5000


[5]
# Li5Pm2Ag12

An optimized crystal structure of Li5Pm2Ag12 (GGA-PBE, Alexandria via LeMat-Bulk).

Results
calculated volume	19.03	Å³/atom
energy of formation	-0.183	eV/atom
N(E_F)	8.6	states/eV per cell

a b c (Å): 7.2009 7.2009 7.2009
angles (deg): 81.29 81.29 81.29
Element x y z (fractional)
1 Li 0.0000 0.0000 0.5000
2 Li 0.0000 0.5000 0.0000
3 Li 0.0921 0.0921 0.0921
4 Li 0.5000 0.0000 0.0000
5 Li 0.9079 0.9079 0.9079
6 Pm 0.3574 0.3574 0.3574
7 Pm 0.6426 0.6426 0.6426
8 Ag 0.0000 0.3035 0.6965
9 Ag 0.0000 0.6965 0.3035
10 Ag 0.1424 0.6605 0.6605
11 Ag 0.3035 0.0000 0.6965
12 Ag 0.3035 0.6965 0.0000
13 Ag 0.3395 0.3395 0.8576
14 Ag 0.3395 0.8576 0.3395
15 Ag 0.6605 0.1424 0.6605
16 Ag 0.6605 0.6605 0.1424
17 Ag 0.6965 0.0000 0.3035
18 Ag 0.6965 0.3035 0.0000
19 Ag 0.8576 0.3395 0.3395


[6]
# Sr5PbSe6

An optimized crystal structure of Sr5PbSe6 (GGA-PBE, Alexandria via LeMat-Bulk).

Results
calculated volume	31.09	Å³/atom
N(E_F)	0.0	states/eV per cell
uncorrected formation energy	-1.82	eV/atom

a b c (Å): 7.7032 7.7032 7.6993
angles (deg): 99.59 99.59 120.00
Element x y z (fractional)
1 Sr 0.0000 0.0000 0.0000
2 Sr 0.1671 0.8329 0.5000
3 Sr 0.3348 0.6652 0.0000
4 Sr 0.6652 0.3348 0.0000
5 Sr 0.8329 0.1671 0.5000
6 Pb 0.5000 0.5000 0.5000
7 Se 0.0829 0.4164 0.2496
8 Se 0.2494 0.2494 0.7497
9 Se 0.4164 0.0829 0.2496
10 Se 0.5836 0.9171 0.7504
11 Se 0.7506 0.7506 0.2503
12 Se 0.9171 0.5836 0.7504